# 1
4
Lattice="3.501 0.000 0.000 0.000 3.501 0.000 0.000 0.000 5.959" Properties=species:S:1:pos:R:3 comment="ZrAsPt2, relaxed, DFT PBE-GGA" sg="P4mm (99)" delta_e_f_ev_per_fu=-2.3 dft_energy_ev_per_atom=-6.89 pbc="T T T"
Zr 0.000 0.000 0.000
As 1.750 1.750 2.098
Pt 0.000 0.000 3.031
Pt 1.750 1.750 4.702



# 2
8
Lattice="-3.156 3.156 6.561 3.156 -3.156 6.561 3.156 3.156 -6.561" Properties=species:S:1:pos:R:3 comment="Cd2SeCl, relaxed, DFT PBE-GGA" sg="I-42d (122)" polymorph_energy_mev_per_atom=34 dft_energy_ev_per_atom=-2.27 pbc="T T T"
Cd 4.733 1.455 -1.640
Cd 1.455 1.578 1.640
Cd -1.578 1.700 4.921
Cd 1.700 1.578 8.202
Se 0.000 0.000 0.000
Se 0.000 3.156 3.281
Cl 3.156 0.000 3.281
Cl 0.000 0.000 6.561



# 3
4
Lattice="0.000 3.354 3.354 3.354 0.000 3.354 3.354 3.354 0.000" Properties=species:S:1:pos:R:3 comment="LiCuHgSb, relaxed, DFT PBE-GGA" sg="F-43m (216)" dft_energy_ev_per_atom=-2.68 pbc="T T T"
Li 0.000 0.000 0.000
Cu 3.354 3.354 3.354
Hg 5.031 5.031 5.031
Sb 1.677 1.677 1.677



# 4
6
Lattice="2.201 1.271 5.828 -2.201 1.271 5.828 0.000 -2.541 5.828" Properties=species:S:1:pos:R:3 comment="TiFeAg, relaxed, DFT PBE-GGA" sg="R-3m (166)" delta_e_f_ev_per_fu=1.2 dft_energy_ev_per_atom=-6.02 pbc="T T T"
Ti 0.000 0.000 1.487
Ti 0.000 0.000 15.998
Fe 0.000 0.000 3.583
Fe 0.000 0.000 13.901
Ag 0.000 0.000 6.411
Ag 0.000 0.000 11.073



# 5
7
Lattice="2.684 1.550 8.744 -2.684 1.550 8.744 0.000 -3.100 8.744" Properties=species:S:1:pos:R:3 comment="Nd4SnHg2, relaxed, DFT PBE-GGA" sg="R-3m (166)" delta_e_f_ev_per_fu=-2.6 dft_energy_ev_per_atom=-3.75 pbc="T T T"
Nd 0.000 0.000 3.156
Nd 0.000 0.000 9.777
Nd 0.000 0.000 16.455
Nd 0.000 0.000 23.077
Sn 0.000 0.000 13.116
Hg 0.000 0.000 6.619
Hg 0.000 0.000 19.613



# 6
13
Lattice="5.031 2.904 8.450 -5.031 2.904 8.450 0.000 -5.809 8.450" Properties=species:S:1:pos:R:3 comment="Rb8Au4I, relaxed, DFT PBE-GGA" sg="R-3m (166)" dft_energy_ev_per_atom=-2.10 pbc="T T T"
Rb -2.519 -1.454 14.637
Rb 0.000 0.000 6.263
Rb 0.000 -2.909 10.713
Rb -2.519 1.454 10.713
Rb 2.519 -1.454 14.637
Rb 0.000 2.909 14.637
Rb 0.000 0.000 19.088
Rb 2.519 1.454 10.713
Au -5.031 0.000 12.675
Au -2.515 1.452 4.225
Au 2.515 1.452 4.225
Au 0.000 0.000 12.675
I 0.000 0.000 0.000